Below is an optimized crystal structure of CsUHgTe4, with properties calculated at the GGA-PBE level.

The structure in POSCAR format:
```
CsUHgTe4
1.0
7.1555 0.0000 0.0000
0.0000 7.8129 0.0000
-1.0586 0.0000 9.9356
Cs U Hg Te
2 2 2 8
direct
0.2223 0.2500 0.0343
0.7777 0.7500 0.9657
0.1739 0.7500 0.4472
0.8261 0.2500 0.5528
0.3429 0.2500 0.6480
0.6571 0.7500 0.3520
0.0822 0.5242 0.6928
0.0822 0.9758 0.6928
0.3250 0.7500 0.1753
0.4579 0.2500 0.3888
0.5421 0.7500 0.6112
0.6750 0.2500 0.8247
0.9178 0.0242 0.3072
0.9178 0.4758 0.3072
```

Raw formation energy in meV/atom: -517.8
Calculated density in kg/m³: 6469


Below is an optimized crystal structure of Cs3U3HgTe8, with properties calculated at the GGA-PBE level.

The structure in POSCAR format:
```
Cs3U3HgTe8
1.0
4.5351 2.6183 8.9806
-4.5351 2.6183 8.9806
0.0000 -5.2367 8.9806
Cs U Hg Te
3 3 1 8
direct
0.0000 0.5000 0.5000
0.5000 0.0000 0.5000
0.5000 0.5000 0.0000
0.0000 0.0000 0.5000
0.0000 0.5000 0.0000
0.5000 0.0000 0.0000
0.5000 0.5000 0.5000
0.2136 0.7371 0.7371
0.2303 0.2303 0.2303
0.2629 0.2629 0.7864
0.2629 0.7864 0.2629
0.7371 0.2136 0.7371
0.7371 0.7371 0.2136
0.7697 0.7697 0.7697
0.7864 0.2629 0.2629
```

Raw formation energy in meV/atom: -718.1
Calculated density in kg/m³: 6058


Below is an optimized crystal structure of Cs3UHg2Te6, with properties calculated at the GGA-PBE level.

The structure in POSCAR format:
```
Cs3UHg2Te6
1.0
7.6974 0.0000 0.0000
-3.8487 6.6662 0.0000
0.0000 0.0000 10.2548
Cs U Hg Te
3 1 2 6
direct
0.0000 0.0000 0.0000
0.3333 0.6667 0.6570
0.6667 0.3333 0.3430
0.0000 0.0000 0.5000
0.3333 0.6667 0.0423
0.6667 0.3333 0.9577
0.1721 0.3441 0.3234
0.1721 0.8279 0.3234
0.3441 0.1721 0.6766
0.6559 0.8279 0.3234
0.8279 0.1721 0.6766
0.8279 0.6559 0.6766
```

Raw formation energy in meV/atom: -538.7
Calculated density in kg/m³: 5691


Below is an optimized crystal structure of CsVHgTe2, with properties calculated at the GGA-PBE level.

The structure in POSCAR format:
```
CsVHgTe2
1.0
5.4386 0.0000 0.0000
0.0000 5.4386 0.0000
0.0000 0.0000 5.6691
Cs V Hg Te
1 1 1 2
direct
0.0000 0.0000 0.0000
0.5000 0.5000 0.5000
0.5000 0.5000 0.0000
0.0000 0.5000 0.5000
0.5000 0.0000 0.5000
```

Raw formation energy in meV/atom: -299.4
Calculated density in kg/m³: 6334


Below is an optimized crystal structure of CsYHgTe2, with properties calculated at the GGA-PBE level.

The structure in POSCAR format:
```
CsYHgTe2
1.0
5.9635 0.0000 0.0000
0.0000 5.9635 0.0000
0.0000 0.0000 6.0755
Cs Y Hg Te
1 1 1 2
direct
0.0000 0.0000 0.0000
0.5000 0.5000 0.5000
0.5000 0.5000 0.0000
0.0000 0.5000 0.5000
0.5000 0.0000 0.5000
```

Raw formation energy in meV/atom: -837.8
Calculated density in kg/m³: 5208


Below is an optimized crystal structure of CsYHgTe3, with properties calculated at the GGA-PBE level.

The structure in POSCAR format:
```
CsYHgTe3
1.0
10.0436 0.0000 0.0000
0.0000 4.5633 0.0000
-4.0256 0.0000 10.4943
Cs Y Hg Te
2 2 2 6
direct
0.2236 0.2500 0.2559
0.7764 0.7500 0.7441
0.3282 0.7500 0.8653
0.6718 0.2500 0.1347
0.0845 0.2500 0.6166
0.9155 0.7500 0.3834
0.1154 0.2500 0.8751
0.2286 0.7500 0.5546
0.4720 0.7500 0.1542
0.5280 0.2500 0.8458
0.7714 0.2500 0.4454
0.8846 0.7500 0.1249
```

Raw formation energy in meV/atom: -983.3
Calculated density in kg/m³: 5560


Below is an optimized crystal structure of Cs2YHg2Te4, with properties calculated at the GGA-PBE level.

The structure in POSCAR format:
```
Cs2YHg2Te4
1.0
8.8664 -2.3466 0.0000
8.8664 2.3466 0.0000
-3.0380 0.0000 8.4304
Cs Y Hg Te
2 1 2 4
direct
0.1341 0.1341 0.0827
0.8659 0.8659 0.9173
0.0000 0.0000 0.5000
0.3290 0.3290 0.5331
0.6710 0.6710 0.4669
0.1865 0.1865 0.6795
0.4983 0.4983 0.7340
0.5017 0.5017 0.2660
0.8135 0.8135 0.3205
```

Raw formation energy in meV/atom: -814.3
Calculated density in kg/m³: 5994


Below is an optimized crystal structure of CsZnHg2Te, with properties calculated at the GGA-PBE level.

The structure in POSCAR format:
```
CsZnHg2Te
1.0
5.6167 0.0000 0.0000
0.0000 5.6167 0.0000
0.0000 0.0000 5.6058
Cs Zn Hg Te
1 1 2 1
direct
0.0000 0.0000 0.0000
0.5000 0.5000 0.5000
0.0000 0.5000 0.5000
0.5000 0.0000 0.5000
0.5000 0.5000 0.0000
```

Raw formation energy in meV/atom: -312.6
Calculated density in kg/m³: 6827


Below is an optimized crystal structure of CsZrHgTe2, with properties calculated at the GGA-PBE level.

The structure in POSCAR format:
```
CsZrHgTe2
1.0
5.7132 0.0000 0.0000
0.0000 5.7132 0.0000
0.0000 0.0000 5.8089
Cs Zr Hg Te
1 1 1 2
direct
0.0000 0.0000 0.0000
0.5000 0.5000 0.5000
0.5000 0.5000 0.0000
0.0000 0.5000 0.5000
0.5000 0.0000 0.5000
```

Raw formation energy in meV/atom: -652.7
Calculated density in kg/m³: 5955


Below is an optimized crystal structure of CsThHg2, with properties calculated at the GGA-PBE level.

The structure in POSCAR format:
```
CsThHg2
1.0
3.9242 0.0000 0.0000
0.0000 3.9242 0.0000
0.0000 0.0000 9.0837
Cs Th Hg
1 1 2
direct
0.0000 0.0000 0.0000
0.0000 0.0000 0.5000
0.5000 0.5000 0.3079
0.5000 0.5000 0.6921
```

Calculated density in kg/m³: 9095
Energy of formation from the pure elements in meV/atom: -115


Below is an optimized crystal structure of CsTiHg3, with properties calculated at the GGA-PBE level.

The structure in POSCAR format:
```
CsTiHg3
1.0
5.6191 0.0000 0.0000
0.0000 5.6191 0.0000
0.0000 0.0000 5.6191
Cs Ti Hg
1 1 3
direct
0.0000 0.0000 0.0000
0.5000 0.5000 0.5000
0.0000 0.5000 0.5000
0.5000 0.0000 0.5000
0.5000 0.5000 0.0000
```

Calculated density in kg/m³: 7324
Distance to the lowest polymorph of the same formula in kJ/mol of formula units: 0
Energy of formation from the pure elements in meV/atom: 105


Below is an optimized crystal structure of Cs3TiHg, with properties calculated at the GGA-PBE level.

The structure in POSCAR format:
```
Cs3TiHg
1.0
7.1721 0.0000 0.0000
0.0000 7.1721 0.0000
0.0000 0.0000 7.1721
Cs Ti Hg
3 1 1
direct
0.0000 0.0000 0.5000
0.0000 0.5000 0.0000
0.5000 0.0000 0.0000
0.5000 0.5000 0.5000
0.0000 0.0000 0.0000
```

Calculated density in kg/m³: 2913
Energy of formation from the pure elements in meV/atom: 751


Below is an optimized crystal structure of CsTiHg3, with properties calculated at the GGA-PBE level.

The structure in POSCAR format:
```
CsTiHg3
1.0
6.7282 0.0000 0.0000
0.0000 6.7282 0.0000
0.0000 0.0000 6.7282
Cs Ti Hg
1 1 3
direct
0.0000 0.0000 0.0000
0.5000 0.5000 0.5000
0.0000 0.0000 0.5000
0.0000 0.5000 0.0000
0.5000 0.0000 0.0000
```

Calculated density in kg/m³: 4266
Distance to the lowest polymorph of the same formula in kJ/mol of formula units: 430
Energy of formation from the pure elements in meV/atom: 996


Below is an optimized crystal structure of Cs2TlHg, with properties calculated at the GGA-PBE level.

The structure in POSCAR format:
```
Cs2TlHg
1.0
2.2193 1.2813 13.1011
-2.2193 1.2813 13.1011
0.0000 -2.5627 13.1011
Cs Tl Hg
2 1 1
direct
0.0963 0.0963 0.0963
0.9037 0.9037 0.9037
0.0000 0.0000 0.0000
0.5000 0.5000 0.5000
```

Calculated density in kg/m³: 4983
Distance to the lowest polymorph of the same formula in kJ/mol of formula units: 98
Energy of formation from the pure elements in meV/atom: 119


Below is an optimized crystal structure of CsTl2Hg6, with properties calculated at the GGA-PBE level.

The structure in POSCAR format:
```
CsTl2Hg6
1.0
7.4551 -5.4645 0.0000
7.4551 5.4645 0.0000
-0.8802 0.0000 3.6228
Cs Tl Hg
1 2 6
direct
0.0000 0.0000 0.0000
0.3683 0.3683 0.8649
0.6317 0.6317 0.1351
0.0186 0.3568 0.6887
0.3146 0.6854 0.5000
0.3568 0.0186 0.6887
0.6432 0.9814 0.3113
0.6854 0.3146 0.5000
0.9814 0.6432 0.3113
```

Calculated density in kg/m³: 9818
Distance to the lowest polymorph of the same formula in kJ/mol of formula units: 0
Energy of formation from the pure elements in meV/atom: -87


Below is an optimized crystal structure of Cs4Tl5Hg, with properties calculated at the GGA-PBE level.

The structure in POSCAR format:
```
Cs4Tl5Hg
1.0
-5.7399 5.7399 3.6769
5.7399 -5.7399 3.6769
5.7399 5.7399 -3.6769
Cs Tl Hg
4 5 1
direct
0.0017 0.2982 0.2999
0.2982 0.9983 0.2965
0.7018 0.0017 0.7035
0.9983 0.7018 0.7001
0.3418 0.6320 0.9980
0.3438 0.3418 0.7098
0.6320 0.6339 0.2902
0.6339 0.3438 0.0020
0.7803 0.7803 0.0000
0.1955 0.1955 0.0000
```

Calculated density in kg/m³: 6011
Energy of formation from the pure elements in meV/atom: -91


Below is an optimized crystal structure of CsTlHg4, with properties calculated at the GGA-PBE level.

The structure in POSCAR format:
```
CsTlHg4
1.0
-6.0352 6.0352 6.4214
6.0352 -6.0352 6.4214
6.0352 6.0352 -6.4214
Cs Tl Hg
4 4 16
direct
0.1588 0.1588 0.0000
0.2500 0.7500 0.5000
0.7500 0.2500 0.5000
0.8412 0.8412 0.0000
0.3014 0.5000 0.8014
0.5000 0.3014 0.8014
0.5000 0.6986 0.1986
0.6986 0.5000 0.1986
0.1227 0.3036 0.4263
0.1227 0.6964 0.8191
0.1368 0.1368 0.6370
0.1368 0.4997 0.0000
0.3036 0.1227 0.4263
0.3036 0.8773 0.1809
0.4997 0.1368 0.0000
0.4997 0.4997 0.3630
0.5003 0.5003 0.6370
0.5003 0.8632 0.0000
0.6964 0.1227 0.8191
0.6964 0.8773 0.5737
0.8632 0.5003 0.0000
0.8632 0.8632 0.3630
0.8773 0.3036 0.1809
0.8773 0.6964 0.5737
```

Calculated density in kg/m³: 8091
Distance to the lowest polymorph of the same formula in kJ/mol of formula units: 23
Energy of formation from the pure elements in meV/atom: -113


Below is an optimized crystal structure of CsTlHg10, with properties calculated at the GGA-PBE level.

The structure in POSCAR format:
```
CsTlHg10
1.0
5.5676 0.0000 0.0000
0.0000 6.4684 0.0000
0.0000 0.0000 10.8065
Cs Tl Hg
1 1 10
direct
0.0000 0.0000 0.0000
0.0000 0.5000 0.5000
0.0000 0.0000 0.3489
0.0000 0.0000 0.6511
0.0000 0.5000 0.1874
0.0000 0.5000 0.8126
0.5000 0.0000 0.5000
0.5000 0.2511 0.2549
0.5000 0.2511 0.7451
0.5000 0.5000 0.0000
0.5000 0.7489 0.2549
0.5000 0.7489 0.7451
```

Calculated density in kg/m³: 9998
Energy of formation from the pure elements in meV/atom: -70


Below is an optimized crystal structure of CsTlHg6, with properties calculated at the GGA-PBE level.

The structure in POSCAR format:
```
CsTlHg6
1.0
6.4617 0.0000 0.0000
0.0000 6.4617 0.0000
0.0000 0.0000 6.4617
Cs Tl Hg
1 1 6
direct
0.0000 0.0000 0.0000
0.5000 0.5000 0.5000
0.0000 0.2617 0.5000
0.0000 0.7383 0.5000
0.2617 0.5000 0.0000
0.5000 0.0000 0.2617
0.5000 0.0000 0.7383
0.7383 0.5000 0.0000
```

Calculated density in kg/m³: 9483
Distance to the lowest polymorph of the same formula in kJ/mol of formula units: 37
Energy of formation from the pure elements in meV/atom: -77


Below is an optimized crystal structure of Cs2Tl7Hg12, with properties calculated at the GGA-PBE level.

The structure in POSCAR format:
```
Cs2Tl7Hg12
1.0
11.6689 0.0000 0.0000
-5.8345 10.1056 0.0000
0.0000 0.0000 5.9038
Cs Tl Hg
2 7 12
direct
0.3333 0.6667 0.2820
0.6667 0.3333 0.7180
0.0000 0.0000 0.0000
0.1133 0.3610 0.8470
0.2477 0.8867 0.8470
0.3610 0.2477 0.1530
0.6390 0.7523 0.8470
0.7523 0.1133 0.1530
0.8867 0.6390 0.1530
0.0433 0.5842 0.7251
0.1052 0.2479 0.3453
0.1427 0.8948 0.3453
0.2479 0.1427 0.6547
0.4158 0.4591 0.7251
0.4591 0.0433 0.2749
0.5409 0.9567 0.7251
0.5842 0.5409 0.2749
0.7521 0.8573 0.3453
0.8573 0.1052 0.6547
0.8948 0.7521 0.6547
0.9567 0.4158 0.2749
```

Calculated density in kg/m³: 9788
Energy of formation from the pure elements in meV/atom: -84


Below is an optimized crystal structure of CsTl4Hg15, with properties calculated at the GGA-PBE level.

The structure in POSCAR format:
```
CsTl4Hg15
1.0
5.1618 0.0000 0.0000
0.0000 5.1618 0.0000
0.0000 0.0000 22.7870
Cs Tl Hg
1 4 15
direct
0.0000 0.0000 0.0000
0.0000 0.0000 0.2225
0.0000 0.0000 0.4036
0.0000 0.0000 0.5964
0.0000 0.0000 0.7775
0.0000 0.5000 0.1209
0.0000 0.5000 0.3115
0.0000 0.5000 0.5000
0.0000 0.5000 0.6885
0.0000 0.5000 0.8791
0.5000 0.0000 0.1209
0.5000 0.0000 0.3115
0.5000 0.0000 0.5000
0.5000 0.0000 0.6885
0.5000 0.0000 0.8791
0.5000 0.5000 0.0000
0.5000 0.5000 0.2157
0.5000 0.5000 0.4050
0.5000 0.5000 0.5950
0.5000 0.5000 0.7843
```

Calculated density in kg/m³: 10829
Energy of formation from the pure elements in meV/atom: -64


Below is an optimized crystal structure of CsTl5Hg, with properties calculated at the GGA-PBE level.

The structure in POSCAR format:
```
CsTl5Hg
1.0
5.1855 0.0000 0.0000
0.0000 5.1855 0.0000
0.0000 0.0000 10.1620
Cs Tl Hg
1 5 1
direct
0.0000 0.0000 0.0000
0.0000 0.0000 0.5000
0.0000 0.5000 0.3000
0.0000 0.5000 0.7000
0.5000 0.0000 0.3000
0.5000 0.0000 0.7000
0.5000 0.5000 0.5000
```

Calculated density in kg/m³: 8237
Energy of formation from the pure elements in meV/atom: -31


Below is an optimized crystal structure of CsTlHg4, with properties calculated at the GGA-PBE level.

The structure in POSCAR format:
```
CsTlHg4
1.0
5.4142 0.0000 0.0000
-2.7071 4.6888 0.0000
0.0000 0.0000 8.3115
Cs Tl Hg
1 1 4
direct
0.0000 0.0000 0.0000
0.0000 0.0000 0.5000
0.3333 0.6667 0.3030
0.3333 0.6667 0.6970
0.6667 0.3333 0.3030
0.6667 0.3333 0.6970
```

Calculated density in kg/m³: 8969
Distance to the lowest polymorph of the same formula in kJ/mol of formula units: 0
Energy of formation from the pure elements in meV/atom: -153


Number 1: calculated volume 555.5 Å³/cell. Number 2: calculated volume 639.8 Å³/cell. Number 3: calculated volume 526.2 Å³/cell. Number 4: calculated volume 167.7 Å³/cell. Number 5: calculated volume 216.1 Å³/cell. Number 6: calculated volume 481.0 Å³/cell. Number 7: calculated volume 350.8 Å³/cell. Number 8: calculated volume 176.9 Å³/cell. Number 9: calculated volume 189.6 Å³/cell. Number 10: calculated volume 139.9 Å³/cell. Number 11: calculated volume 177.4 Å³/cell. Number 12: calculated volume 368.9 Å³/cell. Number 13: calculated volume 304.6 Å³/cell. Number 14: calculated volume 223.5 Å³/cell. Number 15: calculated volume 295.2 Å³/cell. Number 16: calculated volume 484.6 Å³/cell. Number 17: calculated volume 935.6 Å³/cell. Number 18: calculated volume 389.2 Å³/cell. Number 19: calculated volume 269.8 Å³/cell. Number 20: calculated volume 696.2 Å³/cell. Number 21: calculated volume 607.2 Å³/cell. Number 22: calculated volume 273.2 Å³/cell. Number 23: calculated volume 211.0 Å³/cell.